A plane-wave DFT calculation with PBE-GGA was carried out for a geometry-optimized LiPmMg2 structure.

Properties
- Energy above the lowest structure with this stoichiometry: 4.6 kJ per mole of atoms
- Calculated total energy: -2.48 eV/atom
- Formation energy from the elements: -0.0121 eV per atom
- N(E_F): 0.8650 states/eV/atom
- Crystal system: cubic

Cell lengths 5.225, 5.225, 5.225 Å; angles 60.00, 60.00, 60.00 degrees
Element x y z (fractional)
Li (0.000, 0.000, 0.000)
Pm (0.500, 0.500, 0.500)
Mg (0.250, 0.250, 0.250)
Mg (0.750, 0.750, 0.750)

***

A plane-wave DFT calculation with PBE-GGA was carried out for a geometry-optimized BAu structure.

Properties
- Calculated total energy: -3.95 eV/atom
- Formation energy from the elements: 1.0275 eV per atom
- N(E_F): 0.6317 states/eV/atom
- Crystal system: cubic

Cell lengths 3.338, 3.338, 3.338 Å; angles 60.00, 60.00, 60.00 degrees
Element x y z (fractional)
B (0.000, 0.000, 0.000)
Au (0.500, 0.500, 0.500)

***

A plane-wave DFT calculation with PBE-GGA was carried out for a geometry-optimized KCaAl2 structure.

Properties
- Energy above the lowest structure with this stoichiometry: 3.0 kJ per mole of atoms
- Calculated total energy: -2.52 eV/atom
- Formation energy from the elements: 0.1309 eV per atom
- N(E_F): 0.7749 states/eV/atom
- Crystal system: orthorhombic

Cell lengths 3.360, 4.882, 7.793 Å; angles 90.00, 90.00, 90.00 degrees
Element x y z (fractional)
K (0.000, 0.000, 0.000)
Ca (0.000, 0.000, 0.500)
Al (0.500, 0.500, 0.332)
Al (0.500, 0.500, 0.668)

***

A plane-wave DFT calculation with PBE-GGA was carried out for a geometry-optimized Sm4HoZn5 structure.

Properties
- Calculated total energy: -3.30 eV/atom
- Formation energy from the elements: -0.3210 eV per atom
- N(E_F): 1.1757 states/eV/atom
- Crystal system: tetragonal

Cell lengths 3.620, 3.620, 18.138 Å; angles 90.00, 90.00, 90.00 degrees
Element x y z (fractional)
Sm (0.000, 0.000, 0.101)
Sm (0.000, 0.000, 0.303)
Sm (0.000, 0.000, 0.697)
Sm (0.000, 0.000, 0.899)
Ho (0.000, 0.000, 0.500)
Zn (0.500, 0.500, 0.000)
Zn (0.500, 0.500, 0.202)
Zn (0.500, 0.500, 0.406)
Zn (0.500, 0.500, 0.594)
Zn (0.500, 0.500, 0.798)

***

no.,size of the total moment (μB/f.u.)
1,0.00
2,0.00
3,0.00
4,0.00